# 1
An optimized crystal structure of Ta6Mo, computed with PBEsol.

Results
The calculation puts the raw total energy at -12.475 eV per atom. The calculation puts the formation energy from the elements at -24 kJ/mol of formula units. Its crystal system is trigonal. Its energy above the most stable polymorph in this dataset is 0.0239 eV/atom. The density is 16.26 Mg/m³.

a = 2.8322 Å, b = 7.0768 Å, c = 7.0768 Å
α = 118.25°, β = 97.67°, γ = 97.67°
Sites, in units of the cell vectors:
Ta 0.8694 0.1410 0.4246
Ta 0.4448 0.5754 0.7164
Ta 0.5552 0.4246 0.2836
Ta 0.1306 0.8590 0.5754
Ta 0.7284 0.2836 0.8590
Ta 0.2716 0.7164 0.1410
Mo 0.0000 0.0000 0.0000

# 2
An optimized crystal structure of KInPb2, computed with PBEsol.

Results
The calculation puts the raw total energy at -3.126 eV per atom. The calculation puts the formation energy from the elements at -37 kJ/mol of formula units. Its crystal system is tetragonal. The density is 7.59 Mg/m³.

a = 3.9917 Å, b = 3.9917 Å, c = 7.8077 Å
α = 90.00°, β = 90.00°, γ = 90.00°
Sites, in units of the cell vectors:
In 0.5000 0.5000 0.0000
K 0.5000 0.5000 0.5000
Pb 0.0000 0.0000 0.1991
Pb 0.0000 0.0000 0.8009

# 3
An optimized crystal structure of Na2CaPd, computed with PBEsol.

Results
The calculation puts the raw total energy at -2.670 eV per atom. The calculation puts the formation energy from the elements at 20 kJ/mol of formula units. Its crystal system is cubic. The density is 3.43 Mg/m³.

a = 5.0903 Å, b = 5.0903 Å, c = 5.0903 Å
α = 60.00°, β = 60.00°, γ = 60.00°
Sites, in units of the cell vectors:
Pd 0.5000 0.5000 0.5000
Ca 0.0000 0.0000 0.0000
Na 0.2500 0.2500 0.2500
Na 0.7500 0.7500 0.7500

# 4
An optimized crystal structure of Ta2AgW, computed with PBEsol.

Results
The calculation puts the raw total energy at -10.209 eV per atom. The calculation puts the formation energy from the elements at 134 kJ/mol of formula units. Its crystal system is monoclinic. Its energy above the most stable polymorph in this dataset is 0.1656 eV/atom. The density is 16.07 Mg/m³.

a = 2.7509 Å, b = 5.0074 Å, c = 5.1446 Å
α = 97.26°, β = 90.00°, γ = 105.94°
Sites, in units of the cell vectors:
W 0.4953 0.9907 0.5073
Ta 0.0042 0.0084 0.0092
Ta 0.2487 0.4974 0.7395
Ag 0.7517 0.5034 0.2441

# 5
An optimized crystal structure of SbPb2Au, computed with PBEsol.

Results
The calculation puts the raw total energy at -4.100 eV per atom. Its crystal system is orthorhombic. For the uncorrected formation energy, the calculation gives 0.02 eV per atom. The density is 11.82 Mg/m³.

a = 3.4869 Å, b = 5.5184 Å, c = 6.2687 Å
α = 116.11°, β = 106.15°, γ = 90.00°
Sites, in units of the cell vectors:
Sb 0.5375 0.5375 0.0751
Pb 0.7530 0.2530 0.5061
Pb 0.9662 0.9662 0.9323
Au 0.2432 0.7432 0.4865

# 6
An optimized crystal structure of NaZrN2F, computed with PBEsol.

Results
The calculation puts the raw total energy at -6.899 eV per atom. Its crystal system is tetragonal. For the uncorrected formation energy, the calculation gives -1.00 eV per atom. The density is 3.64 Mg/m³.

a = 4.1510 Å, b = 4.1510 Å, c = 4.2636 Å
α = 90.00°, β = 90.00°, γ = 90.00°
Last column: magnetic moment on the atom in μB.
Sites, in units of the cell vectors:
Na 0.5000 0.5000 0.5000  0.00
F 0.0000 0.0000 0.5000  0.00
N 0.5000 0.0000 0.0000  0.09
N 0.0000 0.5000 0.0000  0.09
Zr 0.0000 0.0000 0.0000  0.00

# 7
An optimized crystal structure of AlTcIr2, computed with PBEsol.

Results
The calculation puts the raw total energy at -9.066 eV per atom. The calculation puts the formation energy from the elements at -122 kJ/mol of formula units. Its crystal system is tetragonal. The density is 15.22 Mg/m³.

a = 2.7740 Å, b = 2.7740 Å, c = 7.2227 Å
α = 90.00°, β = 90.00°, γ = 90.00°
Sites, in units of the cell vectors:
Ir 0.5000 0.5000 0.2590
Ir 0.0000 0.0000 0.9842
Al 0.5000 0.5000 0.7567
Tc 0.0000 0.0000 0.5001

# 8
An optimized crystal structure of BaTlOF2, computed with PBEsol.

Results
The calculation puts the raw total energy at -4.887 eV per atom. Its crystal system is tetragonal. For the uncorrected formation energy, the calculation gives -2.11 eV per atom. The density is 6.78 Mg/m³.

a = 4.4221 Å, b = 4.6828 Å, c = 4.6828 Å
α = 90.00°, β = 90.00°, γ = 90.00°
Sites, in units of the cell vectors:
F 0.0000 0.5000 0.0000
F 0.0000 0.0000 0.5000
O 0.5000 0.0000 0.0000
Tl 0.0000 0.0000 0.0000
Ba 0.5000 0.5000 0.5000

> What is the density in the eighth record?

6.78 Mg/m³